# 1
This record from the Alexandria database describes a relaxed InPSe2 crystal. The functional is GGA-PBE.

uncorrected formation energy	48	meV/atom
raw total energy	-3.7310	eV per atom
energy above the most stable polymorph in this dataset	129	meV per atom

Cell: 3.5539 3.6765 14.9656 Å, 90.00 90.00 90.00°
Atoms (fractional coordinates):
In (0.0000, 0.0000, 0.0000)
In (0.5000, 0.5000, 0.5000)
P (0.0000, 0.5000, 0.3415)
P (0.5000, 0.0000, 0.8415)
Se (0.0000, 0.0000, 0.5745)
Se (0.0000, 0.5000, 0.8050)
Se (0.5000, 0.0000, 0.3050)
Se (0.5000, 0.5000, 0.0745)

# 2
This record from the Alexandria database describes a relaxed CaMnI crystal. The functional is GGA-PBE.

uncorrected formation energy	-347	meV/atom
raw total energy	-4.5874	eV per atom

Cell: 6.7454 3.8857 13.2544 Å, 90.00 99.19 90.00°
Atoms (fractional coordinates):
Ca (0.0578, 0.0000, 0.1845)
Ca (0.4422, 0.5000, 0.8155)
Ca (0.5578, 0.5000, 0.1845)
Ca (0.9422, 0.0000, 0.8155)
Mn (0.1671, 0.5000, 0.0021)
Mn (0.3329, 0.0000, 0.9979)
Mn (0.6671, 0.0000, 0.0021)
Mn (0.8329, 0.5000, 0.9979)
I (0.2256, 0.0000, 0.6578)
I (0.2744, 0.5000, 0.3422)
I (0.7256, 0.5000, 0.6578)
I (0.7744, 0.0000, 0.3422)

# 3
This record from the Alexandria database describes a relaxed BeFeTcPb2 crystal. The functional is GGA-PBE.

raw total energy	-4.8034	eV per atom
formation energy from the elements	1191	meV/atom

Cell: 4.8334 4.8334 3.8349 Å, 90.00 90.00 90.00°
Atoms (fractional coordinates):
Be (0.0000, 0.0000, 0.0000)
Fe (0.0000, 0.0000, 0.5000)
Tc (0.5000, 0.5000, 0.5000)
Pb (0.0000, 0.5000, 0.0000)
Pb (0.5000, 0.0000, 0.0000)

# 4
This record from the Alexandria database describes a relaxed Pr2ScGa4Cu3 crystal. The functional is GGA-PBE.

raw total energy	-4.4711	eV per atom
formation energy from the elements	-442	meV/atom

Cell: 4.2027 4.2027 11.1282 Å, 90.00 90.00 90.00°
Atoms (fractional coordinates):
Pr (0.0000, 0.5000, 0.2337)
Pr (0.5000, 0.0000, 0.7663)
Sc (0.0000, 0.0000, 0.5000)
Ga (0.0000, 0.0000, 0.0000)
Ga (0.0000, 0.5000, 0.6582)
Ga (0.5000, 0.0000, 0.3418)
Ga (0.5000, 0.5000, 0.0000)
Cu (0.0000, 0.5000, 0.8774)
Cu (0.5000, 0.0000, 0.1226)
Cu (0.5000, 0.5000, 0.5000)

# 5
This record from the Alexandria database describes a relaxed CrInCl crystal. The functional is GGA-PBE.

uncorrected formation energy	13	meV/atom
raw total energy	-4.7228	eV per atom
energy above the most stable polymorph in this dataset	59	meV per atom

Cell: 3.3023 3.3023 12.7868 Å, 90.00 90.00 90.00°
Atoms (fractional coordinates):
Cr (0.0000, 0.0000, 0.0000)
Cr (0.5000, 0.5000, 0.5000)
In (0.0000, 0.0000, 0.6543)
In (0.5000, 0.5000, 0.1543)
Cl (0.0000, 0.0000, 0.3956)
Cl (0.5000, 0.5000, 0.8956)

# 6
This record from the Alexandria database describes a relaxed PmNdBiSb crystal. The functional is GGA-PBE.

uncorrected formation energy	-1065	meV/atom
raw total energy	-5.4450	eV per atom
energy above the most stable polymorph in this dataset	0	meV per atom

Cell: 4.5510 4.5510 6.4312 Å, 90.00 90.00 90.00°
Atoms (fractional coordinates):
Pm (0.0000, 0.0000, 0.0000)
Nd (0.5000, 0.5000, 0.5000)
Bi (0.5000, 0.5000, 0.0000)
Sb (0.0000, 0.0000, 0.5000)

# 7
This record from the Alexandria database describes a relaxed GeBRh2C crystal. The functional is GGA-PBE.

raw total energy	-4.8969	eV per atom
formation energy from the elements	2147	meV/atom

Cell: 4.6276 4.6276 3.7036 Å, 90.00 90.00 90.00°
Atoms (fractional coordinates):
Ge (0.0000, 0.0000, 0.0000)
B (0.0000, 0.0000, 0.5000)
Rh (0.0000, 0.5000, 0.0000)
Rh (0.5000, 0.0000, 0.0000)
C (0.5000, 0.5000, 0.5000)

# 8
This record from the Alexandria database describes a relaxed La2ZnRu crystal. The functional is GGA-PBE.

raw total energy	-5.1094	eV per atom
formation energy from the elements	-8	meV/atom

Cell: 8.0223 8.0223 6.4203 Å, 90.00 90.00 90.00°
Atoms (fractional coordinates):
La (0.2025, 0.2500, 0.1250)
La (0.2500, 0.7025, 0.3750)
La (0.2500, 0.7975, 0.8750)
La (0.2975, 0.2500, 0.6250)
La (0.7025, 0.7500, 0.6250)
La (0.7500, 0.2025, 0.8750)
La (0.7500, 0.2975, 0.3750)
La (0.7975, 0.7500, 0.1250)
Zn (0.0000, 0.0000, 0.5000)
Zn (0.0000, 0.5000, 0.7500)
Zn (0.5000, 0.0000, 0.2500)
Zn (0.5000, 0.5000, 0.0000)
Ru (0.0000, 0.0000, 0.0000)
Ru (0.0000, 0.5000, 0.2500)
Ru (0.5000, 0.0000, 0.7500)
Ru (0.5000, 0.5000, 0.5000)

# 9
This record from the Alexandria database describes a relaxed PmZn7Ag5 crystal. The functional is GGA-PBE.

raw total energy	-2.2417	eV per atom
formation energy from the elements	-94	meV/atom

Cell: 7.0768 7.0768 7.0768 Å, 134.66 97.75 99.33°
Atoms (fractional coordinates):
Pm (0.0000, 0.0000, 0.0000)
Zn (0.2146, 0.4926, 0.7220)
Zn (0.3361, 0.9827, 0.3534)
Zn (0.3480, 0.3480, 0.0000)
Zn (0.6293, 0.9827, 0.6466)
Zn (0.6391, 0.6391, 0.0000)
Zn (0.7705, 0.4926, 0.2780)
Zn (0.8113, 0.3113, 0.5000)
Ag (0.2048, 0.7048, 0.5000)
Ag (0.5011, 0.4868, 0.5106)
Ag (0.5011, 0.9906, 0.0144)
Ag (0.9762, 0.4868, 0.9856)
Ag (0.9762, 0.9906, 0.4894)

# 10
This record from the Alexandria database describes a relaxed CaGa3Os crystal. The functional is GGA-PBE.

raw total energy	-2.5066	eV per atom
formation energy from the elements	1956	meV/atom
energy above the most stable polymorph in this dataset	2159	meV per atom

Cell: 5.1197 5.1197 5.1197 Å, 90.00 90.00 90.00°
Atoms (fractional coordinates):
Ca (0.0000, 0.0000, 0.0000)
Ga (0.0000, 0.0000, 0.5000)
Ga (0.0000, 0.5000, 0.0000)
Ga (0.5000, 0.0000, 0.0000)
Os (0.5000, 0.5000, 0.5000)

# 11
This record from the Alexandria database describes a relaxed NaMnIn4S8 crystal. The functional is GGA-PBE.

uncorrected formation energy	-598	meV/atom
raw total energy	-4.4877	eV per atom

Cell: 7.6575 7.6575 7.6575 Å, 61.02 61.02 61.02°
Atoms (fractional coordinates):
Na (0.0000, 0.0000, 0.0000)
Mn (0.6234, 0.6234, 0.6234)
In (0.0998, 0.6242, 0.6242)
In (0.2413, 0.2413, 0.2413)
In (0.6242, 0.0998, 0.6242)
In (0.6242, 0.6242, 0.0998)
S (0.3779, 0.3779, 0.3779)
S (0.3853, 0.3853, 0.8356)
S (0.3853, 0.8356, 0.3853)
S (0.4059, 0.8431, 0.8431)
S (0.8356, 0.3853, 0.3853)
S (0.8431, 0.4059, 0.8431)
S (0.8431, 0.8431, 0.4059)
S (0.8600, 0.8600, 0.8600)

# 12
This record from the Alexandria database describes a relaxed Pm8Si3Ge2 crystal. The functional is GGA-PBE.

uncorrected formation energy	-406	meV/atom
raw total energy	-5.2914	eV per atom

Cell: 8.6973 8.6973 7.1313 Å, 105.63 105.63 56.06°
Atoms (fractional coordinates):
Pm (0.1025, 0.1025, 0.3672)
Pm (0.1375, 0.6303, 0.0960)
Pm (0.3697, 0.8625, 0.9040)
Pm (0.3857, 0.3857, 0.5836)
Pm (0.6143, 0.6143, 0.4164)
Pm (0.6303, 0.1375, 0.0960)
Pm (0.8625, 0.3697, 0.9040)
Pm (0.8975, 0.8975, 0.6328)
Si (0.2433, 0.7567, 0.5000)
Si (0.5000, 0.5000, 0.0000)
Si (0.7567, 0.2433, 0.5000)
Ge (0.2479, 0.2479, 0.1658)
Ge (0.7521, 0.7521, 0.8342)

# 13
This record from the Alexandria database describes a relaxed Cd2FeTc crystal. The functional is GGA-PBE.

raw total energy	-4.0783	eV per atom
formation energy from the elements	1086	meV/atom
energy above the most stable polymorph in this dataset	894	meV per atom

Cell: 7.4244 7.4244 5.1824 Å, 90.00 90.00 90.00°
Atoms (fractional coordinates):
Cd (0.2268, 0.2500, 0.1250)
Cd (0.2500, 0.7268, 0.3750)
Cd (0.2500, 0.7732, 0.8750)
Cd (0.2732, 0.2500, 0.6250)
Cd (0.7268, 0.7500, 0.6250)
Cd (0.7500, 0.2268, 0.8750)
Cd (0.7500, 0.2732, 0.3750)
Cd (0.7732, 0.7500, 0.1250)
Fe (0.0000, 0.0000, 0.0000)
Fe (0.0000, 0.5000, 0.2500)
Fe (0.5000, 0.0000, 0.7500)
Fe (0.5000, 0.5000, 0.5000)
Tc (0.0000, 0.0000, 0.5000)
Tc (0.0000, 0.5000, 0.7500)
Tc (0.5000, 0.0000, 0.2500)
Tc (0.5000, 0.5000, 0.0000)

# 14
This record from the Alexandria database describes a relaxed CaDyInPd crystal. The functional is GGA-PBE.

raw total energy	-4.1873	eV per atom
formation energy from the elements	-554	meV/atom

Cell: 7.3200 7.3200 7.3200 Å, 90.00 90.00 90.00°
Atoms (fractional coordinates):
Ca (0.0000, 0.0000, 0.0000)
Ca (0.0000, 0.5000, 0.5000)
Ca (0.5000, 0.0000, 0.5000)
Ca (0.5000, 0.5000, 0.0000)
Dy (0.0000, 0.0000, 0.5000)
Dy (0.0000, 0.5000, 0.0000)
Dy (0.5000, 0.0000, 0.0000)
Dy (0.5000, 0.5000, 0.5000)
In (0.2500, 0.2500, 0.7500)
In (0.2500, 0.7500, 0.2500)
In (0.7500, 0.2500, 0.2500)
In (0.7500, 0.7500, 0.7500)
Pd (0.2500, 0.2500, 0.2500)
Pd (0.2500, 0.7500, 0.7500)
Pd (0.7500, 0.2500, 0.7500)
Pd (0.7500, 0.7500, 0.2500)

# 15
This record from the Alexandria database describes a relaxed La2HfSnN crystal. The functional is GGA-PBE.

uncorrected formation energy	-880	meV/atom
raw total energy	-7.3075	eV per atom

Cell: 5.2680 5.2680 4.3526 Å, 90.00 90.00 90.00°
Atoms (fractional coordinates):
La (0.0000, 0.5000, 0.0000)
La (0.5000, 0.0000, 0.0000)
Hf (0.0000, 0.0000, 0.5000)
Sn (0.5000, 0.5000, 0.5000)
N (0.0000, 0.0000, 0.0000)

# 16
This record from the Alexandria database describes a relaxed Sm2YEr2Mg5 crystal. The functional is GGA-PBE.

raw total energy	-3.2622	eV per atom
formation energy from the elements	38	meV/atom

Cell: 10.5942 10.5942 5.0611 Å, 90.00 90.00 90.00°
Atoms (fractional coordinates):
Sm (0.1775, 0.3225, 0.0000)
Sm (0.3225, 0.8225, 0.0000)
Sm (0.6775, 0.1775, 0.0000)
Sm (0.8225, 0.6775, 0.0000)
Y (0.0000, 0.0000, 0.0000)
Y (0.5000, 0.5000, 0.0000)
Er (0.1191, 0.6191, 0.0000)
Er (0.3809, 0.1191, 0.0000)
Er (0.6191, 0.8809, 0.0000)
Er (0.8809, 0.3809, 0.0000)
Mg (0.0000, 0.5000, 0.5000)
Mg (0.0696, 0.8015, 0.5000)
Mg (0.1985, 0.0696, 0.5000)
Mg (0.3015, 0.5696, 0.5000)
Mg (0.4304, 0.3015, 0.5000)
Mg (0.5000, 0.0000, 0.5000)
Mg (0.5696, 0.6985, 0.5000)
Mg (0.6985, 0.4304, 0.5000)
Mg (0.8015, 0.9304, 0.5000)
Mg (0.9304, 0.1985, 0.5000)

# 17
This record from the Alexandria database describes a relaxed Pr8AlCd2 crystal. The functional is GGA-PBE.

raw total energy	-4.1093	eV per atom
formation energy from the elements	-127	meV/atom
energy above the most stable polymorph in this dataset	26	meV per atom

Cell: 9.6763 9.6763 7.5630 Å, 109.41 109.41 32.17°
Atoms (fractional coordinates):
Pr (0.0190, 0.0190, 0.2716)
Pr (0.1934, 0.1934, 0.7886)
Pr (0.3361, 0.3361, 0.5443)
Pr (0.4100, 0.4100, 0.0472)
Pr (0.5900, 0.5900, 0.9528)
Pr (0.6639, 0.6639, 0.4557)
Pr (0.8066, 0.8066, 0.2114)
Pr (0.9810, 0.9810, 0.7284)
Al (0.5000, 0.5000, 0.5000)
Cd (0.1808, 0.1808, 0.1966)
Cd (0.8192, 0.8192, 0.8034)

# 18
This record from the Alexandria database describes a relaxed Ta2InBr crystal. The functional is GGA-PBE.

uncorrected formation energy	534	meV/atom
raw total energy	-6.4951	eV per atom
energy above the most stable polymorph in this dataset	463	meV per atom

Cell: 3.0155 5.4616 9.8018 Å, 90.00 90.00 90.00°
Atoms (fractional coordinates):
Ta (0.0000, 0.0000, 0.2326)
Ta (0.0000, 0.0000, 0.7674)
Ta (0.5000, 0.5000, 0.2674)
Ta (0.5000, 0.5000, 0.7326)
In (0.0000, 0.5000, 0.0000)
In (0.5000, 0.0000, 0.5000)
Br (0.0000, 0.5000, 0.5000)
Br (0.5000, 0.0000, 0.0000)

# 19
This record from the Alexandria database describes a relaxed NiAg2Os crystal. The functional is GGA-PBE.

raw total energy	-5.2175	eV per atom
formation energy from the elements	461	meV/atom
energy above the most stable polymorph in this dataset	147	meV per atom

Cell: 2.7130 3.6483 6.2853 Å, 90.00 90.00 90.00°
Atoms (fractional coordinates):
Ni (0.0000, 0.0000, 0.0000)
Ag (0.0000, 0.0000, 0.4461)
Ag (0.5000, 0.5000, 0.7233)
Os (0.5000, 0.5000, 0.1664)

# 20
This record from the Alexandria database describes a relaxed Pm2Zn2Tc2C crystal. The functional is GGA-PBE.

raw total energy	-6.2686	eV per atom
formation energy from the elements	-268	meV/atom

Cell: 10.7336 3.8542 7.4050 Å, 90.00 121.48 90.00°
Atoms (fractional coordinates):
Pm (0.0704, 0.0000, 0.2818)
Pm (0.4296, 0.5000, 0.7182)
Pm (0.5704, 0.5000, 0.2818)
Pm (0.9296, 0.0000, 0.7182)
Zn (0.1298, 0.5000, 0.6576)
Zn (0.3702, 0.0000, 0.3424)
Zn (0.6298, 0.0000, 0.6576)
Zn (0.8702, 0.5000, 0.3424)
Tc (0.2041, 0.5000, 0.0627)
Tc (0.2959, 0.0000, 0.9373)
Tc (0.7041, 0.0000, 0.0627)
Tc (0.7959, 0.5000, 0.9373)
C (0.0000, 0.5000, 0.0000)
C (0.5000, 0.0000, 0.0000)

# 21
This record from the Alexandria database describes a relaxed Hg2PAu2 crystal. The functional is GGA-PBE.

raw total energy	-2.3399	eV per atom
formation energy from the elements	174	meV/atom

Cell: 6.6713 6.6713 5.7460 Å, 90.00 90.00 90.00°
Atoms (fractional coordinates):
Hg (0.1604, 0.3396, 0.0000)
Hg (0.3396, 0.8396, 0.0000)
Hg (0.6604, 0.1604, 0.0000)
Hg (0.8396, 0.6604, 0.0000)
P (0.0000, 0.0000, 0.5000)
P (0.5000, 0.5000, 0.5000)
Au (0.2300, 0.2700, 0.5000)
Au (0.2700, 0.7700, 0.5000)
Au (0.7300, 0.2300, 0.5000)
Au (0.7700, 0.7300, 0.5000)